1.
Density functional theory data (PBE) for crystalline Lu2ScSb at its relaxed geometry.

Output
Excess energy over the best structure of this formula in the dataset: 0.000 eV per atom
Uncorrected formation energy: -0.47 eV per atom
Total moment: 0.0000 μB per atom
Symmetry: P4/mmm, No. 123
Electronic total energy: -5.34 eV/atom

```
Lu2ScSb
1.0
-1.2863 1.3890 3.5153
2.6323 -2.3357 1.8861
4.3916 4.7359 -0.2644
Lu Sc Sb
2 1 1
direct
0.0000 0.0000 0.7549
0.0000 0.0000 0.2451
0.5000 0.5000 0.5000
0.5000 0.5000 0.0000
```

2.
Density functional theory data (PBE) for crystalline La2ErPbC at its relaxed geometry.

Output
Formation energy from the elements: -0.4409 eV per atom
Total moment: 0.0000 μB per atom
Symmetry: P4/mmm, No. 123
Electronic total energy: -5.91 eV/atom

```
La2ErPbC
1.0
-0.3628 -1.6950 -4.5987
4.2804 -2.9381 0.7452
-3.0063 -3.9503 1.6932
Er Pb La C
1 1 2 1
direct
0.5000 0.0000 0.0000
0.5000 0.5000 0.5000
0.0000 0.5000 0.0000
0.0000 0.0000 0.5000
0.0000 0.0000 0.0000
```

3.
Density functional theory data (PBE) for crystalline Na2V2RhSe6 at its relaxed geometry.

Output
Uncorrected formation energy: -0.73 eV per atom
Total moment: 0.0890 μB per atom
Symmetry: C2/m, No. 12
Electronic total energy: -5.19 eV/atom

```
Na2V2RhSe6
1.0
-0.0210 2.7219 5.5696
2.8014 -5.4486 -0.9459
5.4816 4.2361 -2.9375
Na V Rh Se
2 2 1 6
direct
0.1755 0.8245 0.0000
0.8245 0.1755 0.0000
0.6323 0.3677 0.5000
0.3677 0.6323 0.5000
0.0000 0.0000 0.5000
0.0349 0.3894 0.6834
0.3894 0.0349 0.6834
0.6106 0.9651 0.3166
0.9651 0.6106 0.3166
0.2642 0.2642 0.2722
0.7358 0.7358 0.7278
```

4.
Density functional theory data (PBE) for crystalline LaGaPdPt at its relaxed geometry.

Output
Formation energy from the elements: -0.7914 eV per atom
Total moment: 0.0000 μB per atom
Symmetry: Imm2, No. 44
Electronic total energy: -5.59 eV/atom

```
LaGaPdPt
1.0
-1.6790 1.8106 -3.2230
-2.9960 -2.9239 -0.0818
-0.6998 3.5771 4.9316
Ga Pd La Pt
1 1 1 1
direct
0.2187 0.7187 0.4373
0.3383 0.3383 0.6766
0.9710 0.9710 0.9419
0.5874 0.5874 0.1749
```

5.
Density functional theory data (PBE) for crystalline TlBi2P2 at its relaxed geometry.

Output
Excess energy over the best structure of this formula in the dataset: 0.000 eV per atom
Formation energy from the elements: 0.1947 eV per atom
Total moment: 0.0000 μB per atom
Symmetry: I4/mmm, No. 139
Electronic total energy: -3.99 eV/atom

```
TlBi2P2
1.0
-3.5405 4.0912 1.3848
-3.1527 -3.6718 2.7874
-1.0922 0.9621 5.6271
Tl Bi P
1 2 2
direct
0.0000 0.0000 0.0000
0.7500 0.2500 0.5000
0.2500 0.7500 0.5000
0.3704 0.3704 0.2592
0.6296 0.6296 0.7408
```

6.
Density functional theory data (PBE) for crystalline Ta2ZnCu at its relaxed geometry.

Output
Formation energy from the elements: 0.0869 eV per atom
Total moment: 0.0000 μB per atom
Symmetry: Pm, No. 6
Electronic total energy: -7.18 eV/atom

```
Ta2ZnCu
1.0
4.2509 0.0000 0.0000
0.0000 2.7547 0.1842
0.0000 1.0459 5.4680
Cu Zn Ta
1 1 2
direct
0.5000 0.5612 0.7504
0.0000 0.6880 0.5007
0.5000 0.3014 0.2742
0.0000 0.9493 0.9748
```